# ZnAg4Cl6 (GGA-PBE, optimized geometry)
# * energy relative to the elements, uncorrected: -60.49 kJ/mol of atoms
# * calculated density: 4.06 Mg/m³
# * crystal system: monoclinic
data_ZnAg4Cl6
_chemical_formula_sum 'Zn2 Ag8 Cl12'
_cell_length_a 7.417
_cell_length_b 7.417
_cell_length_c 12.810
_cell_angle_alpha 106.20
_cell_angle_beta 106.20
_cell_angle_gamma 60.57
_space_group_name_H-M_alt 'P 1'
_space_group_IT_number 1
_space_group_name_Hall 'P 1'
loop_
_atom_site_label
_atom_site_type_symbol
_atom_site_fract_x
_atom_site_fract_y
_atom_site_fract_z
Zn1 Zn 0.239 0.761 0.500
Zn2 Zn 0.761 0.239 0.000
Ag1 Ag 0.002 0.847 0.747
Ag2 Ag 0.166 0.378 0.244
Ag3 Ag 0.349 0.781 0.088
Ag4 Ag 0.378 0.166 0.744
Ag5 Ag 0.641 0.866 0.434
Ag6 Ag 0.781 0.349 0.588
Ag7 Ag 0.847 0.002 0.247
Ag8 Ag 0.866 0.641 0.934
Cl1 Cl 0.011 0.490 0.749
Cl2 Cl 0.047 0.578 0.440
Cl3 Cl 0.057 0.080 0.445
Cl4 Cl 0.080 0.057 0.945
Cl5 Cl 0.100 0.658 0.129
Cl6 Cl 0.337 0.806 0.687
Cl7 Cl 0.490 0.011 0.249
Cl8 Cl 0.542 0.563 0.427
Cl9 Cl 0.563 0.542 0.927
Cl10 Cl 0.578 0.047 0.940
Cl11 Cl 0.658 0.100 0.629
Cl12 Cl 0.806 0.337 0.187

---

# AcPmYAl (GGA-PBE, optimized geometry)
# * calculated density: 6.64 Mg/m³
# * crystal system: cubic
# * electronic total energy: -4.71 eV per atom
data_AcPmYAl
_chemical_formula_sum 'Ac1 Pm1 Y1 Al1'
_cell_length_a 5.566
_cell_length_b 5.566
_cell_length_c 5.566
_cell_angle_alpha 60.00
_cell_angle_beta 60.00
_cell_angle_gamma 60.00
_space_group_name_H-M_alt 'P 1'
_space_group_IT_number 1
_space_group_name_Hall 'P 1'
loop_
_atom_site_label
_atom_site_type_symbol
_atom_site_fract_x
_atom_site_fract_y
_atom_site_fract_z
Ac1 Ac 0.000 0.000 0.000
Pm1 Pm 0.250 0.250 0.250
Y1 Y 0.750 0.750 0.750
Al1 Al 0.500 0.500 0.500

---

# CoIrRu (GGA-PBE, optimized geometry)
# * calculated density: 14.75 Mg/m³
# * crystal system: monoclinic
# * electronic total energy: -8.39 eV per atom
data_CoIrRu
_chemical_formula_sum 'Co2 Ir2 Ru2'
_cell_length_a 2.699
_cell_length_b 4.276
_cell_length_c 7.002
_cell_angle_alpha 90.00
_cell_angle_beta 101.06
_cell_angle_gamma 90.00
_space_group_name_H-M_alt 'P 1'
_space_group_IT_number 1
_space_group_name_Hall 'P 1'
loop_
_atom_site_label
_atom_site_type_symbol
_atom_site_fract_x
_atom_site_fract_y
_atom_site_fract_z
Co1 Co 0.224 0.250 0.447
Co2 Co 0.776 0.750 0.553
Ir1 Ir 0.116 0.750 0.233
Ir2 Ir 0.884 0.250 0.767
Ru1 Ru 0.441 0.750 0.882
Ru2 Ru 0.559 0.250 0.118

---

# La2Nd7Er3 (GGA-PBE, optimized geometry)
# * calculated density: 7.12 Mg/m³
# * crystal system: orthorhombic
# * electronic total energy: -4.62 eV per atom
data_La2Nd7Er3
_chemical_formula_sum 'La2 Nd7 Er3'
_cell_length_a 19.576
_cell_length_b 19.576
_cell_length_c 3.676
_cell_angle_alpha 90.00
_cell_angle_beta 90.00
_cell_angle_gamma 162.76
_space_group_name_H-M_alt 'P 1'
_space_group_IT_number 1
_space_group_name_Hall 'P 1'
loop_
_atom_site_label
_atom_site_type_symbol
_atom_site_fract_x
_atom_site_fract_y
_atom_site_fract_z
La1 La 0.149 0.851 0.000
La2 La 0.851 0.149 0.000
Nd1 Nd 0.000 0.000 0.000
Nd2 Nd 0.071 0.929 0.500
Nd3 Nd 0.232 0.768 0.000
Nd4 Nd 0.410 0.590 0.000
Nd5 Nd 0.590 0.410 0.000
Nd6 Nd 0.768 0.232 0.000
Nd7 Nd 0.929 0.071 0.500
Er1 Er 0.314 0.686 0.500
Er2 Er 0.500 0.500 0.500
Er3 Er 0.686 0.314 0.500

---

# KSi3S (GGA-PBE, optimized geometry)
# * energy relative to the elements, uncorrected: 69.21 kJ/mol of atoms
# * calculated density: 2.15 Mg/m³
# * crystal system: cubic
data_KSi3S
_chemical_formula_sum 'K1 Si3 S1'
_cell_length_a 4.933
_cell_length_b 4.933
_cell_length_c 4.933
_cell_angle_alpha 90.00
_cell_angle_beta 90.00
_cell_angle_gamma 90.00
_space_group_name_H-M_alt 'P 1'
_space_group_IT_number 1
_space_group_name_Hall 'P 1'
loop_
_atom_site_label
_atom_site_type_symbol
_atom_site_fract_x
_atom_site_fract_y
_atom_site_fract_z
K1 K 0.000 0.000 0.000
Si1 Si 0.000 0.500 0.500
Si2 Si 0.500 0.000 0.500
Si3 Si 0.500 0.500 0.000
S1 S 0.500 0.500 0.500

---

# GaSbAuI2 (GGA-PBE, optimized geometry)
# * energy relative to the elements, uncorrected: 52.04 kJ/mol of atoms
# * calculated density: 6.36 Mg/m³
# * crystal system: tetragonal
data_GaSbAuI2
_chemical_formula_sum 'Ga1 Sb1 Au1 I2'
_cell_length_a 5.499
_cell_length_b 5.499
_cell_length_c 5.549
_cell_angle_alpha 90.00
_cell_angle_beta 90.00
_cell_angle_gamma 90.00
_space_group_name_H-M_alt 'P 1'
_space_group_IT_number 1
_space_group_name_Hall 'P 1'
loop_
_atom_site_label
_atom_site_type_symbol
_atom_site_fract_x
_atom_site_fract_y
_atom_site_fract_z
Ga1 Ga 0.000 0.000 0.000
Sb1 Sb 0.000 0.000 0.500
Au1 Au 0.500 0.500 0.500
I1 I 0.000 0.500 0.000
I2 I 0.500 0.000 0.000